Arrangement P

Entry from the Alexandria database: crystalline AgSbTe at its relaxed geometry (GGA-PBE).

Cell lengths 8.2994, 8.2994, 8.2994 Å; angles 158.10, 158.10, 31.17 degrees
Fractional positions:
Ag1 0.0000 0.0000 0.0000
Sb1 0.6351 0.6351 0.0000
Te1 0.3499 0.3499 0.0000


Arrangement Q

Entry from the Alexandria database: crystalline AgSbTe at its relaxed geometry (GGA-PBE).

Cell lengths 4.6042, 4.6369, 9.6089 Å; angles 90.22, 90.06, 119.61 degrees
Fractional positions:
Ag1 0.2276 0.4543 0.0829
Ag2 0.7724 0.5457 0.9171
Sb1 0.1775 0.3532 0.5773
Sb2 0.8225 0.6468 0.4227
Te1 0.4146 0.8323 0.8090
Te2 0.5854 0.1677 0.1910


Arrangement R

Entry from the Alexandria database: crystalline AgSbTe at its relaxed geometry (GGA-PBE).

Cell lengths 4.9222, 4.9222, 4.9222 Å; angles 60.00, 60.00, 60.00 degrees
Fractional positions:
Ag1 0.0000 0.0000 0.0000
Sb1 0.2500 0.2500 0.2500
Te1 0.7500 0.7500 0.7500


Unit: meV per atom. Relative energies: arrangement P 199; arrangement Q 0; arrangement R 184.


Arrangement P

Entry from the Alexandria database: crystalline Ag2SbTe4 at its relaxed geometry (GGA-PBE).

Cell lengths 9.0156, 9.0156, 9.0156 Å; angles 128.35, 126.10, 77.90 degrees
Fractional positions:
Ag1 0.0000 0.0000 0.0000
Ag2 0.3471 0.5971 0.7500
Ag3 0.5000 0.0000 0.5000
Ag4 0.6529 0.4029 0.2500
Sb1 0.0000 0.0000 0.5000
Sb2 0.0000 0.5000 0.0000
Te1 0.2210 0.2000 0.4790
Te2 0.2210 0.7420 0.0210
Te3 0.2780 0.2502 0.0278
Te4 0.2776 0.7498 0.5278
Te5 0.7224 0.2502 0.4722
Te6 0.7220 0.7498 0.9722
Te7 0.7790 0.2580 0.9790
Te8 0.7790 0.8000 0.5210


Arrangement Q

Entry from the Alexandria database: crystalline Ag2SbTe4 at its relaxed geometry (GGA-PBE).

Cell lengths 5.8804, 5.8804, 6.5673 Å; angles 90.00, 90.00, 90.00 degrees
Fractional positions:
Ag1 0.0000 0.5000 0.0000
Ag2 0.5000 0.0000 0.0000
Sb1 0.0000 0.0000 0.5000
Te1 0.3008 0.3008 0.7241
Te2 0.3008 0.6992 0.2759
Te3 0.6992 0.3008 0.2759
Te4 0.6992 0.6992 0.7241


Unit: meV per atom. Relative energies: arrangement P 0; arrangement Q 33.


Arrangement P

Entry from the Alexandria database: crystalline Ag2SbTe at its relaxed geometry (GGA-PBE).

Cell lengths 3.9805, 4.5477, 5.2980 Å; angles 90.00, 90.00, 90.00 degrees
Fractional positions:
Ag1 0.0000 0.0000 0.0000
Ag2 0.5000 0.0000 0.5000
Sb1 0.0000 0.5000 0.5000
Te1 0.5000 0.5000 0.0000


Arrangement Q

Entry from the Alexandria database: crystalline Ag2SbTe at its relaxed geometry (GGA-PBE).

Cell lengths 3.1559, 3.1559, 9.6700 Å; angles 90.00, 90.00, 90.40 degrees
Fractional positions:
Ag1 0.0000 0.0000 0.0000
Ag2 0.5000 0.5000 0.1992
Sb1 0.0000 0.0000 0.4160
Te1 0.5000 0.5000 0.7627


Arrangement R

Entry from the Alexandria database: crystalline Ag2SbTe at its relaxed geometry (GGA-PBE).

Cell lengths 5.1066, 5.1066, 5.1066 Å; angles 60.00, 60.00, 60.00 degrees
Fractional positions:
Ag1 0.2500 0.2500 0.2500
Ag2 0.7500 0.7500 0.7500
Sb1 0.0000 0.0000 0.0000
Te1 0.5000 0.5000 0.5000


Unit: meV per atom. Relative energies: arrangement P 70; arrangement Q 0; arrangement R 145.


Arrangement P

Entry from the Alexandria database: crystalline Ag2SbTe at its relaxed geometry (GGA-PBE).

Cell lengths 4.9832, 4.9832, 4.9506 Å; angles 109.11, 109.11, 102.55 degrees
Fractional positions:
Ag1 0.0000 0.5000 0.0000
Ag2 0.5000 0.0000 0.0000
Sb1 0.0000 0.0000 0.5000
Te1 0.5000 0.5000 0.5000


Arrangement Q

Entry from the Alexandria database: crystalline Ag2SbTe at its relaxed geometry (GGA-PBE).

Cell lengths 3.0841, 4.2920, 7.4338 Å; angles 90.00, 101.86, 90.00 degrees
Fractional positions:
Ag1 0.0000 0.0000 0.0000
Ag2 0.3982 0.5000 0.7991
Sb1 0.6067 0.5000 0.2063
Te1 0.7928 0.0000 0.5757


Arrangement R

Entry from the Alexandria database: crystalline Ag2SbTe at its relaxed geometry (GGA-PBE).

Cell lengths 5.1329, 5.1329, 5.1329 Å; angles 60.00, 60.00, 60.00 degrees
Fractional positions:
Ag1 0.0000 0.0000 0.0000
Ag2 0.2500 0.2500 0.2500
Sb1 0.5000 0.5000 0.5000
Te1 0.7500 0.7500 0.7500


Arrangement S

Entry from the Alexandria database: crystalline Ag2SbTe at its relaxed geometry (GGA-PBE).

Cell lengths 4.4300, 3.8797, 5.8904 Å; angles 90.00, 106.79, 90.00 degrees
Fractional positions:
Ag1 0.0000 0.0000 0.0000
Ag2 0.5000 0.5000 0.5000
Sb1 0.0000 0.0000 0.5000
Te1 0.5000 0.5000 0.0000


Unit: meV per atom. Relative energies: arrangement P 90; arrangement Q 0; arrangement R 292; arrangement S 85.


Arrangement P

Entry from the Alexandria database: crystalline AgSbTe4 at its relaxed geometry (GGA-PBE).

Cell lengths 6.3297, 6.3297, 6.3297 Å; angles 60.00, 60.00, 60.00 degrees
Fractional positions:
Ag1 0.0000 0.0000 0.0000
Sb1 0.7500 0.7500 0.7500
Te1 0.3753 0.3753 0.3753
Te2 0.3753 0.3753 0.8741
Te3 0.3753 0.8741 0.3753
Te4 0.8741 0.3753 0.3753


Arrangement Q

Entry from the Alexandria database: crystalline AgSbTe4 at its relaxed geometry (GGA-PBE).

Cell lengths 5.6754, 8.5305, 7.8465 Å; angles 90.00, 91.79, 90.00 degrees
Fractional positions:
Ag1 0.0000 0.0493 0.2500
Ag2 0.0000 0.9507 0.7500
Sb1 0.5000 0.3800 0.2500
Sb2 0.5000 0.6200 0.7500
Te1 0.1603 0.3813 0.5501
Te2 0.1603 0.6187 0.0501
Te3 0.3166 0.1217 0.9957
Te4 0.3166 0.8783 0.4957
Te5 0.6834 0.1217 0.5043
Te6 0.6834 0.8783 0.0043
Te7 0.8397 0.3813 0.9499
Te8 0.8397 0.6187 0.4499


Unit: meV per atom. Relative energies: arrangement P 559; arrangement Q 0.


Arrangement P

Entry from the Alexandria database: crystalline TlAgSbTe2 at its relaxed geometry (GGA-PBE).

Cell lengths 5.6629, 5.6629, 5.2729 Å; angles 90.00, 90.00, 90.00 degrees
Fractional positions:
Tl1 0.0000 0.0000 0.0000
Ag1 0.5000 0.5000 0.5000
Sb1 0.5000 0.5000 0.0000
Te1 0.0000 0.5000 0.5000
Te2 0.5000 0.0000 0.5000


Arrangement Q

Entry from the Alexandria database: crystalline TlAgSbTe2 at its relaxed geometry (GGA-PBE).

Cell lengths 8.2378, 4.2998, 8.8382 Å; angles 90.00, 90.26, 90.00 degrees
Fractional positions:
Tl1 0.0000 0.0057 0.2500
Tl2 0.0000 0.9943 0.7500
Ag1 0.5000 0.0000 0.0000
Ag2 0.5000 0.0000 0.5000
Sb1 0.5000 0.4992 0.7500
Sb2 0.5000 0.5008 0.2500
Te1 0.2351 0.4529 0.9989
Te2 0.2351 0.5471 0.4989
Te3 0.7649 0.4529 0.5011
Te4 0.7649 0.5471 0.0011


Unit: meV per atom. Relative energies: arrangement P 365; arrangement Q 0.


Arrangement P

Entry from the Alexandria database: crystalline ZnAgSbTe2 at its relaxed geometry (GGA-PBE).

Cell lengths 5.4162, 5.4162, 5.0931 Å; angles 90.00, 90.00, 90.00 degrees
Fractional positions:
Zn1 0.0000 0.0000 0.0000
Ag1 0.5000 0.5000 0.5000
Sb1 0.0000 0.0000 0.5000
Te1 0.0000 0.5000 0.0000
Te2 0.5000 0.0000 0.0000


Arrangement Q

Entry from the Alexandria database: crystalline ZnAgSbTe2 at its relaxed geometry (GGA-PBE).

Cell lengths 5.5146, 5.5146, 5.3229 Å; angles 90.00, 90.00, 90.00 degrees
Fractional positions:
Zn1 0.0000 0.0000 0.0000
Ag1 0.5000 0.5000 0.5000
Sb1 0.5000 0.5000 0.0000
Te1 0.0000 0.5000 0.5000
Te2 0.5000 0.0000 0.5000


Unit: meV per atom. Relative energies: arrangement P 0; arrangement Q 110.


Arrangement P

Entry from the Alexandria database: crystalline Ti2Ag2Sb at its relaxed geometry (GGA-PBE).

Cell lengths 6.9615, 6.9615, 4.1706 Å; angles 90.00, 90.00, 90.00 degrees
Fractional positions:
Ti1 0.1360 0.3640 0.0000
Ti2 0.3640 0.8640 0.0000
Ti3 0.6360 0.1360 0.0000
Ti4 0.8640 0.6360 0.0000
Ag1 0.1489 0.6489 0.5000
Ag2 0.3511 0.1489 0.5000
Ag3 0.6489 0.8511 0.5000
Ag4 0.8511 0.3511 0.5000
Sb1 0.0000 0.0000 0.0000
Sb2 0.5000 0.5000 0.0000


Arrangement Q

Entry from the Alexandria database: crystalline Ti2Ag2Sb at its relaxed geometry (GGA-PBE).

Cell lengths 7.8186, 7.8186, 3.1342 Å; angles 90.00, 90.00, 90.00 degrees
Fractional positions:
Ti1 0.1697 0.3303 0.0000
Ti2 0.3303 0.8303 0.0000
Ti3 0.6697 0.1697 0.0000
Ti4 0.8303 0.6697 0.0000
Ag1 0.1251 0.6251 0.5000
Ag2 0.3749 0.1251 0.5000
Ag3 0.6251 0.8749 0.5000
Ag4 0.8749 0.3749 0.5000
Sb1 0.0000 0.0000 0.5000
Sb2 0.5000 0.5000 0.5000


Unit: meV per atom. Relative energies: arrangement P 0; arrangement Q 75.


Arrangement P

Entry from the Alexandria database: crystalline Tl4AgSb at its relaxed geometry (GGA-PBE).

Cell lengths 6.3867, 6.3867, 6.3867 Å; angles 60.00, 60.00, 60.00 degrees
Fractional positions:
Tl1 0.1252 0.1252 0.1252
Tl2 0.1252 0.1252 0.6245
Tl3 0.1252 0.6245 0.1252
Tl4 0.6245 0.1252 0.1252
Ag1 0.7500 0.7500 0.7500
Sb1 0.5000 0.5000 0.5000


Arrangement Q

Entry from the Alexandria database: crystalline Tl4AgSb at its relaxed geometry (GGA-PBE).

Cell lengths 8.1465, 8.1465, 8.1465 Å; angles 122.22, 122.22, 86.19 degrees
Fractional positions:
Tl1 0.0165 0.5165 0.8014
Tl2 0.2150 0.0165 0.5000
Tl3 0.2850 0.7850 0.8014
Tl4 0.4835 0.2850 0.5000
Tl5 0.5165 0.7150 0.5000
Tl6 0.7150 0.2150 0.1986
Tl7 0.7850 0.9835 0.5000
Tl8 0.9835 0.4835 0.1986
Ag1 0.0000 0.0000 0.0000
Ag2 0.5000 0.5000 0.0000
Sb1 0.2500 0.2500 0.0000
Sb2 0.7500 0.7500 0.0000


Unit: meV per atom. Relative energies: arrangement P 222; arrangement Q 0.


Arrangement P

Entry from the Alexandria database: crystalline Tl2Ag2Sb at its relaxed geometry (GGA-PBE).

Cell lengths 7.4798, 7.4798, 7.4798 Å; angles 146.05, 146.05, 48.78 degrees
Fractional positions:
Tl1 0.2500 0.7500 0.5000
Tl2 0.7500 0.2500 0.5000
Ag1 0.0970 0.0970 0.0000
Ag2 0.9030 0.9030 0.0000
Sb1 0.5000 0.5000 0.0000


Arrangement Q

Entry from the Alexandria database: crystalline Tl2Ag2Sb at its relaxed geometry (GGA-PBE).

Cell lengths 8.9761, 8.9761, 3.1213 Å; angles 90.00, 90.00, 90.00 degrees
Fractional positions:
Tl1 0.1850 0.3150 0.0000
Tl2 0.3150 0.8150 0.0000
Tl3 0.6850 0.1850 0.0000
Tl4 0.8150 0.6850 0.0000
Ag1 0.1107 0.6107 0.5000
Ag2 0.3893 0.1107 0.5000
Ag3 0.6107 0.8893 0.5000
Ag4 0.8893 0.3893 0.5000
Sb1 0.0000 0.0000 0.0000
Sb2 0.5000 0.5000 0.0000


Arrangement R

Entry from the Alexandria database: crystalline Tl2Ag2Sb at its relaxed geometry (GGA-PBE).

Cell lengths 9.1767, 9.1767, 9.1767 Å; angles 155.57, 155.57, 34.83 degrees
Fractional positions:
Tl1 0.1067 0.1067 0.0000
Tl2 0.8933 0.8933 0.0000
Ag1 0.2500 0.7500 0.5000
Ag2 0.7500 0.2500 0.5000
Sb1 0.5000 0.5000 0.0000


Arrangement S

Entry from the Alexandria database: crystalline Tl2Ag2Sb at its relaxed geometry (GGA-PBE).

Cell lengths 7.3979, 7.3979, 4.7521 Å; angles 90.00, 90.00, 90.00 degrees
Fractional positions:
Tl1 0.1673 0.3327 0.0000
Tl2 0.3327 0.8327 0.0000
Tl3 0.6673 0.1673 0.0000
Tl4 0.8327 0.6673 0.0000
Ag1 0.1378 0.6378 0.5000
Ag2 0.3622 0.1378 0.5000
Ag3 0.6378 0.8622 0.5000
Ag4 0.8622 0.3622 0.5000
Sb1 0.0000 0.0000 0.5000
Sb2 0.5000 0.5000 0.5000


Unit: meV per atom. Relative energies: arrangement P 175; arrangement Q 137; arrangement R 90; arrangement S 0.